A geometry-optimized ZrCoMo3 structure. Source: Alexandria via LeMat-Bulk, functional PBE.

Structure (POSCAR):
```
ZrCoMo3
1.0
4.721 0.000 0.000
0.000 4.721 0.000
0.000 0.000 4.721
Zr Co Mo
1 1 3
direct
0.000 0.000 0.000
0.500 0.500 0.500
0.000 0.000 0.500
0.000 0.500 0.000
0.500 0.000 0.000
```

Calculated values
Polymorph energy (0 for the lowest one) in meV/atom: 1593
DOS(E_F) in states/eV per cell: 9.7

A geometry-optimized MgCu2Cl4 structure. Source: Alexandria via LeMat-Bulk, functional PBE.

Structure (POSCAR):
```
MgCu2Cl4
1.0
-3.611 3.611 3.199
3.611 -3.611 3.199
3.611 3.611 -3.199
Mg Cu Cl
1 2 4
direct
0.000 0.000 0.000
0.250 0.750 0.500
0.750 0.250 0.500
0.142 0.305 0.447
0.305 0.858 0.163
0.695 0.142 0.837
0.858 0.695 0.553
```

Calculated values
Raw formation energy in eV/atom: -0.88

A geometry-optimized LaTlFe structure. Source: Alexandria via LeMat-Bulk, functional PBE.

Structure (POSCAR):
```
LaTlFe
1.0
0.000 3.593 3.593
3.593 0.000 3.593
3.593 3.593 0.000
La Tl Fe
1 1 1
direct
0.000 0.000 0.000
0.250 0.250 0.250
0.750 0.750 0.750
```

Calculated values
DOS(E_F) in states/eV per cell: 8.2

Number 1: electronic total energy -7.18 eV per atom. Number 2: electronic total energy -3.33 eV per atom. Number 3: electronic total energy -4.46 eV per atom.